Ru3Pb (GGA-PBE, relaxed); SG = P4/mmm, No. 123; calculated formation energy = 62.1 kJ/mol of atoms; DFT total energy = -7.240 eV/atom
1.0
-3.786 -1.693 1.536
-1.237 -0.983 -4.131
1.460 -3.011 0.279
Ru Pb
3 1
Direct
0.000 0.500 0.500
0.500 0.000 0.500
0.500 0.500 0.000
0.000 0.000 0.000

***

RuPb3 (GGA-PBE, relaxed); SG = R-3m, No. 166; calculated formation energy = 28.6 kJ/mol of atoms; DFT total energy = -4.804 eV/atom; E above lowest polymorph = 55 meV/atom
1.0
10.551 0.033 0.019
9.996 3.380 0.019
9.996 1.660 2.944
Ru Pb
1 3
Direct
0.000 0.000 0.000
0.500 0.500 0.500
0.732 0.732 0.732
0.268 0.268 0.268

***

RuPb (GGA-PBE, relaxed); SG = P-6m2, No. 187; calculated formation energy = 53.9 kJ/mol of atoms; DFT total energy = -5.933 eV/atom
1.0
-2.667 -1.939 -0.208
1.319 0.684 2.951
-2.443 3.325 0.321
Pb Ru
1 1
Direct
0.000 0.000 0.000
0.667 0.333 0.500